VASP calculation (PBE) on MnTcOsW after structural relaxation.

Cell: 4.361 4.361 4.361 Å, 60.00 60.00 60.00°
Fractional coordinates of all 4 atoms:
Os  0.750  0.750  0.750
Tc  0.250  0.250  0.250
W  0.000  0.000  0.000
Mn  0.500  0.500  0.500

As for the symmetry: No. 216. Its formation energy is 18.3 meV/atom. The calculation puts the total magnetization at 3.68 μB/cell. The density of states at the Fermi level is 2.0 states/eV per cell. As for the total energy: -10.911 eV per atom.